No. 1
DFT (PBE) results for a relaxed Zr2InMoN crystal.

a b c (Å): 4.630 4.630 4.050
angles (deg): 90.00 90.00 90.00
Atoms (fractional coordinates):
Zr 0.000 0.500 0.000
Zr 0.500 0.000 0.000
In 0.000 0.000 0.500
Mo 0.500 0.500 0.500
N 0.500 0.500 0.000

## Properties
- Space group: P4/mmm, No. 123
- Magnetic moment: 0.0 μB per formula unit
- V: 86.84 Å³ per cell
- D(E_F): 4.7 states/eV/cell



No. 2
DFT (PBE) results for a relaxed NaIn2Mo2 crystal.

a b c (Å): 5.522 5.522 5.522
angles (deg): 122.15 122.15 86.32
Atoms (fractional coordinates):
Na 0.000 0.000 0.000
In 0.250 0.750 0.500
In 0.750 0.250 0.500
Mo 0.362 0.362 0.000
Mo 0.638 0.638 0.000

## Properties
- Energy above the lowest structure with this stoichiometry: 0.269 eV per atom
- Space group: I4/mmm, No. 139
- Magnetic moment: 0.0 μB per formula unit
- V: 114.96 Å³ per cell
- D(E_F): 3.0 states/eV/cell



| no. | density (Mg/m³) | total energy (eV per cell) |
| --- | --- | --- |
| 1 | 7.79 | -42.0 |
| 2 | 6.42 | -25.4 |